1.
A geometry-optimized Nd12Er7Pu structure. Source: Alexandria, functional GGA-PBE.

Results
Calculated volume   684.8 Å³ per cell
Space-group type   R-3
M_tot   5.9 μB per formula unit
Energy of formation   0.228 eV/atom

Structure (POSCAR):
```
Nd12Er7Pu
1.0
9.7828 5.6481 2.0656
-9.7828 5.6481 2.0656
0.0000 -11.2962 2.0656
Nd Er Pu
12 7 1
direct
0.9997 0.4131 0.5875
0.0003 0.5869 0.4125
0.0696 0.4231 0.0707
0.0707 0.0696 0.4231
0.4125 0.0003 0.5869
0.4131 0.5875 0.9997
0.4231 0.0707 0.0696
0.5769 0.9293 0.9304
0.5875 0.9997 0.4131
0.5869 0.4125 0.0003
0.9293 0.9304 0.5769
0.9304 0.5769 0.9293
0.0000 0.0000 0.0000
0.1454 0.3846 0.3858
0.3845 0.3858 0.1454
0.3858 0.1454 0.3845
0.6142 0.8546 0.6155
0.6155 0.6142 0.8546
0.8546 0.6155 0.6142
0.5000 0.5000 0.5000
```

2.
A geometry-optimized La6InGe2Te3 structure. Source: Alexandria, functional GGA-PBE.

Results
Calculated volume   401.1 Å³ per cell
Space-group type   C2/m
M_tot   0.0 μB per formula unit
Formation energy from raw total energies   -13.9 eV/f.u.

Structure (POSCAR):
```
La6InGe2Te3
1.0
9.9579 -2.2488 0.0000
9.9579 2.2488 0.0000
-2.2740 0.0000 8.9563
La In Ge Te
6 1 2 3
direct
0.0071 0.0071 0.2577
0.3275 0.3275 0.4316
0.3313 0.3313 0.8977
0.6687 0.6687 0.1023
0.6725 0.6725 0.5684
0.9929 0.9929 0.7423
0.5000 0.5000 0.0000
0.1670 0.1670 0.3331
0.8330 0.8330 0.6669
0.1645 0.1645 0.8317
0.5000 0.5000 0.5000
0.8355 0.8355 0.1683
```

3.
A geometry-optimized TlNi2Ir structure. Source: Alexandria, functional GGA-PBE.

Results
Calculated volume   58.0 Å³ per cell
Space-group type   Cmmm
M_tot   0.0 μB per formula unit
Energy of formation   0.318 eV/atom

Structure (POSCAR):
```
TlNi2Ir
1.0
2.8510 -3.5514 0.0000
2.8510 3.5514 0.0000
0.0000 0.0000 2.8653
Tl Ni Ir
1 2 1
direct
0.0000 0.0000 0.0000
0.0000 0.5000 0.5000
0.5000 0.0000 0.5000
0.5000 0.5000 0.0000
```

4.
A geometry-optimized BaNa4P2 structure. Source: Alexandria, functional GGA-PBE.

Results
Calculated volume   362.7 Å³ per cell
Space-group type   P4_2/mnm
M_tot   0.0 μB per formula unit
Energy of formation   -0.494 eV/atom

Structure (POSCAR):
```
BaNa4P2
1.0
8.6921 0.0000 0.0000
0.0000 8.6921 0.0000
0.0000 0.0000 4.8011
Ba Na P
2 8 4
direct
0.0000 0.0000 0.0000
0.5000 0.5000 0.5000
0.0958 0.3315 0.5000
0.1685 0.5958 0.0000
0.3315 0.0958 0.5000
0.4042 0.8315 0.0000
0.5958 0.1685 0.0000
0.6685 0.9042 0.5000
0.8315 0.4042 0.0000
0.9042 0.6685 0.5000
0.2148 0.7852 0.5000
0.2852 0.2852 0.0000
0.7148 0.7148 0.0000
0.7852 0.2148 0.5000
```

5.
A geometry-optimized Nd10HoTm4 structure. Source: Alexandria, functional GGA-PBE.

Results
Calculated volume   590.2 Å³ per cell
Space-group type   I4/m
M_tot   0.0 μB per formula unit
Energy of formation   0.679 eV/atom

Structure (POSCAR):
```
Nd10HoTm4
1.0
-6.1559 6.1559 3.8939
6.1559 -6.1559 3.8939
6.1559 6.1559 -3.8939
Nd Ho Tm
10 1 4
direct
0.0497 0.1506 0.6995
0.1506 0.4511 0.1010
0.2500 0.7500 0.5000
0.3502 0.0497 0.8990
0.4511 0.3502 0.3005
0.5489 0.6498 0.6995
0.6498 0.9503 0.1010
0.7500 0.2500 0.5000
0.8494 0.5489 0.8990
0.9503 0.8494 0.3005
0.0000 0.0000 0.0000
0.2003 0.6002 0.8004
0.3998 0.2003 0.6001
0.6002 0.7997 0.3999
0.7997 0.3998 0.1996
```

6.
A geometry-optimized SrTmP2 structure. Source: Alexandria, functional GGA-PBE.

Results
Calculated volume   101.5 Å³ per cell
Space-group type   R-3m
M_tot   0.0 μB per formula unit
Energy of formation   -1.148 eV/atom

Structure (POSCAR):
```
SrTmP2
1.0
2.0525 1.1850 6.9533
-2.0525 1.1850 6.9533
0.0000 -2.3701 6.9533
Sr Tm P
1 1 2
direct
0.0000 0.0000 0.0000
0.5000 0.5000 0.5000
0.2391 0.2391 0.2391
0.7609 0.7609 0.7609
```

7.
A geometry-optimized CsGa2CuBr8 structure. Source: Alexandria, functional GGA-PBE.

Results
Calculated volume   411.7 Å³ per cell
Space-group type   P-3
M_tot   0.1 μB per formula unit
Formation energy from raw total energies   -10.9 eV/f.u.

Structure (POSCAR):
```
CsGa2CuBr8
1.0
6.9007 0.0000 0.0000
-3.4503 5.9762 0.0000
0.0000 0.0000 9.9832
Cs Ga Cu Br
1 2 1 8
direct
0.0000 0.0000 0.0000
0.3333 0.6667 0.7318
0.6667 0.3333 0.2682
0.0000 0.0000 0.5000
0.0179 0.3232 0.6612
0.3054 0.9821 0.6612
0.3232 0.3054 0.3388
0.3333 0.6667 0.9695
0.6667 0.3333 0.0305
0.6768 0.6946 0.6612
0.6946 0.0179 0.3388
0.9821 0.6768 0.3388
```

8.
A geometry-optimized TiAuCl structure. Source: Alexandria, functional GGA-PBE.

Results
Calculated volume   58.9 Å³ per cell
Space-group type   F-43m
M_tot   0.0 μB per formula unit
Formation energy from raw total energies   0.8 eV/f.u.

Structure (POSCAR):
```
TiAuCl
1.0
0.0000 3.0886 3.0886
3.0886 0.0000 3.0886
3.0886 3.0886 0.0000
Ti Au Cl
1 1 1
direct
0.0000 0.0000 0.0000
0.5000 0.5000 0.5000
0.7500 0.7500 0.7500
```